Hf2TeAs: optimized geometry, GGA-PBE.

abc: 3.813 3.813 7.311
angles: 74.88 74.88 60.00
Atoms (fractional coordinates):
Te (0.499, 0.499, 0.502)
As (0.667, 0.667, 0.999)
Hf (0.262, 0.262, 0.213)
Hf (0.071, 0.071, 0.786)

Its density is 10.58 g/cm3. The calculation puts the uncorrected formation energy at -17.0 kcal/mol of atoms. For the energy above the lowest structure with this stoichiometry, the calculation gives 0.00 eV/f.u.


Mg5CuPt6: optimized geometry, GGA-PBE.

abc: 4.145 7.480 7.480
angles: 112.20 106.05 106.05
Atoms (fractional coordinates):
Pt (0.751, 0.917, 0.586)
Pt (0.249, 0.414, 0.083)
Pt (0.250, 0.750, 0.750)
Pt (0.750, 0.250, 0.250)
Pt (0.751, 0.586, 0.917)
Pt (0.249, 0.083, 0.414)
Mg (0.000, 0.333, 0.667)
Mg (0.500, 0.839, 0.161)
Mg (0.500, 0.161, 0.839)
Mg (0.000, 0.667, 0.333)
Mg (0.500, 0.500, 0.500)
Cu (0.000, 0.000, 0.000)

Its formation enthalpy at 0 K is -0.77 eV/atom. Its density is 12.07 g/cm3.


LiTlCo2Rh: optimized geometry, GGA-PBE.

abc: 4.743 4.500 4.743
angles: 90.00 90.00 90.00
Site moments in Bohr magnetons follow the coordinates.
Atoms (fractional coordinates):
Li (0.000, 0.500, 0.000)  -0.02
Tl (0.000, 0.000, 0.000)  -0.08
Co (0.000, 0.000, 0.500)  1.75
Co (0.500, 0.000, 0.000)  1.75
Rh (0.500, 0.500, 0.500)  0.94

Its formation enthalpy at 0 K is 1.50 eV/atom. Its density is 7.09 g/cm3.


PaSbMo: optimized geometry, GGA-PBE.

abc: 4.454 4.454 7.726
angles: 106.75 106.75 90.00
Atoms (fractional coordinates):
Pa (0.865, 0.865, 0.729)
Pa (0.135, 0.135, 0.271)
Mo (0.500, 0.000, 0.000)
Mo (0.000, 0.500, 0.000)
Sb (0.633, 0.633, 0.266)
Sb (0.367, 0.367, 0.734)

Its density is 10.65 g/cm3. The calculation puts the uncorrected formation energy at -7.3 kcal/mol of atoms. For the energy above the lowest structure with this stoichiometry, the calculation gives 0.00 eV/f.u.


FeNi2Se: optimized geometry, GGA-PBE.

abc: 3.693 2.801 5.184
angles: 74.34 90.00 90.00
Site moments in Bohr magnetons follow the coordinates.
Atoms (fractional coordinates):
Se (0.000, 0.307, 0.517)  0.01
Fe (0.500, 0.687, 0.751)  2.67
Ni (0.500, 0.443, 0.235)  0.36
Ni (0.000, 0.063, 0.997)  0.46

Its density is 8.11 g/cm3. The calculation puts the uncorrected formation energy at 3.5 kcal/mol of atoms.


Mg12Tl6Ga: optimized geometry, GGA-PBE.

abc: 7.755 7.755 7.755
angles: 91.79 91.79 91.79
Atoms (fractional coordinates):
Mg (0.140, 0.356, 0.033)
Mg (0.860, 0.644, 0.967)
Mg (0.206, 0.461, 0.553)
Mg (0.794, 0.539, 0.447)
Mg (0.967, 0.860, 0.644)
Mg (0.553, 0.206, 0.461)
Mg (0.461, 0.553, 0.206)
Mg (0.356, 0.033, 0.140)
Mg (0.539, 0.447, 0.794)
Mg (0.033, 0.140, 0.356)
Mg (0.644, 0.967, 0.860)
Mg (0.447, 0.794, 0.539)
Tl (0.708, 0.883, 0.275)
Tl (0.883, 0.275, 0.708)
Tl (0.117, 0.725, 0.292)
Tl (0.275, 0.708, 0.883)
Tl (0.725, 0.292, 0.117)
Tl (0.292, 0.117, 0.725)
Ga (0.000, 0.000, 0.000)

Its formation enthalpy at 0 K is 0.03 eV/atom. Its density is 5.66 g/cm3.


TlCu2PdSe: optimized geometry, GGA-PBE.

abc: 4.899 4.752 4.899
angles: 90.00 90.00 90.00
Atoms (fractional coordinates):
Cu (0.000, 0.000, 0.500)
Cu (0.500, 0.000, 0.000)
Se (0.000, 0.500, 0.000)
Pd (0.000, 0.000, 0.000)
Tl (0.500, 0.500, 0.500)

Its density is 7.53 g/cm3. The calculation puts the uncorrected formation energy at 7.2 kcal/mol of atoms.